Pu6AgPt5 | GGA-PBE | relaxed

Lattice parameters (Å, degrees): 5.1139 8.5263 8.3945 117.62 106.59 109.01
Atoms (fractional coordinates):
Pu: 0.1944 0.4310 0.0943
Pu: 0.7580 0.2507 0.2809
Pu: 0.2865 0.0747 0.4373
Pu: 0.7135 0.9253 0.5627
Pu: 0.2420 0.7493 0.7191
Pu: 0.8056 0.5690 0.9057
Pt: 0.5571 0.8201 0.1295
Pt: 0.5000 0.5000 0.5000
Pt: 0.0983 0.3569 0.6937
Pt: 0.9017 0.6431 0.3063
Pt: 0.4429 0.1799 0.8705
Ag: 0.0000 0.0000 0.0000

Output
* Fermi-level density of states: 4.86 states/eV per atom
* space group: P-1
* magnetic moment: 11.2 μB per cell
* energy of formation: -13.35 kcal/mol of atoms
* calculated density: 16.2 g/cm3
* VASP energy: -10.50 eV per atom

***

PuAgPt | GGA-PBE | relaxed

Lattice parameters (Å, degrees): 2.9416 4.8581 4.8581 120.00 90.00 90.00
Atoms (fractional coordinates):
Pu: 0.6666 0.6667 0.3333
Pt: 0.1680 0.0000 0.0000
Ag: 0.1654 0.3333 0.6667

Output
* Fermi-level density of states: 3.05 states/eV per atom
* space group: P3m1
* magnetic moment: 5.6 μB per cell
* energy of formation: -8.07 kcal/mol of atoms
* calculated density: 15.1 g/cm3
* VASP energy: -8.09 eV per atom